No. 1
Computed, not measured: a relaxed structure of Tb4Pm7Sm at the PBE level of DFT.

Unit cell a=7.294 b=6.318 c=11.584 alpha=79.55 beta=50.96 gamma=90.00
Atoms (fractional coordinates):
Tb1 0.415 0.722 0.333
Tb2 0.585 0.278 0.667
Tb3 0.834 0.780 0.666
Tb4 0.166 0.220 0.334
Pm1 0.747 0.500 0.001
Pm2 0.253 0.500 0.999
Pm3 0.083 0.279 0.666
Pm4 0.917 0.721 0.334
Pm5 0.334 0.778 0.666
Pm6 0.500 0.000 0.000
Pm7 0.666 0.222 0.334
Sm1 0.000 0.000 0.000

Results
Crystal system   triclinic
E above lowest polymorph   0 meV/atom
Energy relative to the elements   3 kJ/mol of formula units
Space-group type   P-1
Total energy   -56.459 eV per cell


No. 2
Computed, not measured: a relaxed structure of TbSmTm2S4 at the PBE level of DFT.

Unit cell a=3.856 b=6.860 c=6.731 alpha=71.16 beta=90.00 gamma=90.00
Atoms (fractional coordinates):
Tb1 0.000 0.500 0.500
Sm1 0.500 0.500 0.000
Tm1 0.000 0.000 0.000
Tm2 0.500 0.000 0.500
S1 0.000 0.764 0.742
S2 0.000 0.236 0.258
S3 0.500 0.761 0.249
S4 0.500 0.239 0.751

Results
Crystal system   monoclinic
E_form (uncorrected)   -1.974 eV/atom
Space-group type   P2/m
Total energy   -50.597 eV per cell


No. 3
Computed, not measured: a relaxed structure of Sr2CeZrP4 at the PBE level of DFT.

Unit cell a=4.078 b=7.054 c=7.292 alpha=108.66 beta=90.00 gamma=90.00
Atoms (fractional coordinates):
Sr1 0.500 0.000 0.500
Sr2 0.000 0.500 0.500
Ce1 0.000 0.000 0.000
Zr1 0.500 0.500 0.000
P1 0.500 0.250 0.215
P2 0.500 0.750 0.785
P3 0.000 0.272 0.788
P4 0.000 0.728 0.212

Results
Crystal system   monoclinic
Energy relative to the elements   -961 kJ/mol of formula units
Space-group type   P2/m
Total energy   -49.441 eV per cell


Number 1: density of states at the Fermi level 15.1 states/eV/f.u.. Number 2: density of states at the Fermi level 4.3 states/eV/f.u.. Number 3: density of states at the Fermi level 0.0 states/eV/f.u..